# NaH3Pt

A crystal of NaH3Pt relaxed with PBEsol (meta-GGA SCAN, the Alexandria database).

The structure in POSCAR format:
```
NaH3Pt
1.0
-2.652 2.066 -1.237
-1.253 -2.755 -1.916
-2.057 -0.986 2.762
H Pt Na
3 1 1
direct
0.000 0.500 0.000
0.000 0.000 0.500
0.500 0.000 0.000
0.000 0.000 0.000
0.500 0.500 0.500
```

Output
magnetic moment	0.000	μB/f.u.
E_tot	-17.3642	eV/atom